No. 1
Material: YBe2Br
Method: DFT, PBE
State: optimized geometry

## Properties
SG	I-42d (122)
E above lowest polymorph	598	meV per atom
density	3.9	Mg/m³
final energy	-3.4846	eV/atom

Lattice parameters (Å, degrees): 7.5885 7.5885 6.0230 50.95 50.95 90.00
Fractional coordinates of all 8 atoms:
Y1 0.0000 0.0000 0.0000
Be1 0.5999 0.1250 0.2500
Br1 0.5000 0.5000 0.0000
Be2 0.8750 0.8499 0.7500
Be3 0.3750 0.4001 0.7500
Br2 0.2500 0.7500 0.5000
Y2 0.7500 0.2500 0.5000
Be4 0.1501 0.6250 0.2500

No. 2
Material: Ce2PrDy3P6
Method: DFT, PBE
State: optimized geometry

## Properties
ΔE_f	-1.562	eV/atom
SG	C2/m (12)
density	6.4	Mg/m³
final energy	-6.8046	eV/atom

Lattice parameters (Å, degrees): 7.0452 7.0452 7.0280 99.62 99.62 120.00
Each line ends with the local moment (μB).
Fractional coordinates of all 12 atoms:
P1 0.9149 0.5754 0.7448  -0.01
Dy1 0.5000 0.5000 0.5000  0.00
P2 0.4246 0.0851 0.2552  -0.01
P3 0.0851 0.4246 0.2552  -0.01
Dy2 0.1655 0.8345 0.5000  0.00
Ce1 0.3330 0.6670 0.0000  0.40
Dy3 0.8345 0.1655 0.5000  0.00
P4 0.7459 0.7459 0.2558  -0.01
P5 0.5754 0.9149 0.7448  -0.01
P6 0.2541 0.2541 0.7442  -0.01
Pr1 0.0000 0.0000 0.0000  0.01
Ce2 0.6670 0.3330 0.0000  0.40

No. 3
Material: Cr2ReNi
Method: DFT, PBE
State: optimized geometry

## Properties
ΔE_f	0.265	eV/atom
SG	R3m (160)
density	11.4	Mg/m³
final energy	-9.1041	eV/atom

Lattice parameters (Å, degrees): 8.3546 8.3546 8.3546 18.41 18.41 18.41
Each line ends with the local moment (μB).
Fractional coordinates of all 4 atoms:
Ni1 0.5042 0.5042 0.5042  0.10
Cr1 0.9951 0.9951 0.9951  -0.10
Re1 0.7486 0.7486 0.7486  -0.01
Cr2 0.2521 0.2521 0.2521  0.80

No. 4
Material: SrLiEuAl
Method: DFT, PBE
State: optimized geometry

## Properties
ΔE_f	-0.074	eV/atom
SG	F-43m (216)
density	3.7	Mg/m³
final energy	-4.4773	eV/atom

Lattice parameters (Å, degrees): 5.5924 5.5924 5.5924 60.00 60.00 60.00
Each line ends with the local moment (μB).
Fractional coordinates of all 4 atoms:
Eu1 0.7500 0.7500 0.7500  6.86
Sr1 0.2500 0.2500 0.2500  0.00
Li1 0.0000 0.0000 0.0000  0.01
Al1 0.5000 0.5000 0.5000  -0.01

No. 5
Material: TaPCl2
Method: DFT, PBE
State: optimized geometry

## Properties
SG	Immm (71)
E above lowest polymorph	192	meV per atom
density	4.8	Mg/m³
final energy	-5.6949	eV/atom

Lattice parameters (Å, degrees): 8.1235 8.1235 4.1668 75.18 75.18 21.61
Fractional coordinates of all 4 atoms:
Ta1 0.2500 0.2500 0.2500
Cl1 0.6123 0.6123 0.3873
P1 0.7500 0.7500 0.7500
Cl2 0.8877 0.8877 0.1127

No. 6
Material: Ho3ErSb4
Method: DFT, PBE
State: optimized geometry

## Properties
SG	Pm-3m (221)
density	8.1	Mg/m³
final energy	-5.4625	eV/atom

Lattice parameters (Å, degrees): 6.1655 6.1655 6.1655 90.00 90.00 90.00
Fractional coordinates of all 8 atoms:
Ho1 0.5000 0.0000 0.5000
Sb1 0.0000 0.0000 0.5000
Sb2 0.5000 0.5000 0.5000
Ho2 0.5000 0.5000 0.0000
Ho3 0.0000 0.5000 0.5000
Sb3 0.0000 0.5000 0.0000
Sb4 0.5000 0.0000 0.0000
Er1 0.0000 0.0000 0.0000